No. 1
Material: Rb2Ca2Sc
Method: DFT, PBE
State: relaxed

```
data_Rb2Ca2Sc
_chemical_formula_sum 'Rb4 Ca4 Sc2'
_symmetry_space_group_name_H-M 'I 4/m m m'
_symmetry_Int_Tables_number 139
_symmetry_space_group_name_Hall '-I 4 2'
_cell_length_a 4.8650
_cell_length_b 4.8650
_cell_length_c 20.9581
_cell_angle_alpha 90.00
_cell_angle_beta 90.00
_cell_angle_gamma 90.00
loop_
_atom_site_label
_atom_site_type_symbol
_atom_site_fract_x
_atom_site_fract_y
_atom_site_fract_z
_atom_site_occupancy
Rb1 Rb 0.0000 0.5000 0.2500 1
Ca1 Ca 0.0000 0.0000 0.0806 1
Sc1 Sc 0.0000 0.0000 0.5000 1
```

Computed properties:
Polymorph energy (0 for the lowest one) (eV/atom): 0.0854
N(E_F) (states/eV/f.u.): 7.46
Formation energy from the elements (meV per atom): 672
Total magnetization (μB/cell): 2.35

No. 2
Material: Rb2CaScSi
Method: DFT, PBE
State: relaxed

```
data_Rb2CaScSi
_chemical_formula_sum 'Rb2 Ca1 Sc1 Si1'
_symmetry_space_group_name_H-M 'P 4/m m m'
_symmetry_Int_Tables_number 123
_symmetry_space_group_name_Hall '-P 4 2'
_cell_length_a 6.7613
_cell_length_b 6.7613
_cell_length_c 6.1955
_cell_angle_alpha 90.00
_cell_angle_beta 90.00
_cell_angle_gamma 90.00
loop_
_atom_site_label
_atom_site_type_symbol
_atom_site_fract_x
_atom_site_fract_y
_atom_site_fract_z
_atom_site_occupancy
Rb1 Rb 0.0000 0.5000 0.0000 1
Ca1 Ca 0.0000 0.0000 0.5000 1
Sc1 Sc 0.0000 0.0000 0.0000 1
Si1 Si 0.5000 0.5000 0.5000 1
```

Computed properties:
N(E_F) (states/eV/f.u.): 9.62
Total magnetization (μB/cell): 3.86
ΔE_f (raw) (eV per atom): 1.33

No. 3
Material: RbCaScTe2
Method: DFT, PBE
State: relaxed

```
data_RbCaScTe2
_chemical_formula_sum 'Rb1 Ca1 Sc1 Te2'
_symmetry_space_group_name_H-M 'P 4/m m m'
_symmetry_Int_Tables_number 123
_symmetry_space_group_name_Hall '-P 4 2'
_cell_length_a 5.7889
_cell_length_b 5.7889
_cell_length_c 5.8673
_cell_angle_alpha 90.00
_cell_angle_beta 90.00
_cell_angle_gamma 90.00
loop_
_atom_site_label
_atom_site_type_symbol
_atom_site_fract_x
_atom_site_fract_y
_atom_site_fract_z
_atom_site_occupancy
Rb1 Rb 0.0000 0.0000 0.0000 1
Ca1 Ca 0.5000 0.5000 0.0000 1
Sc1 Sc 0.5000 0.5000 0.5000 1
Te1 Te 0.0000 0.5000 0.5000 1
```

Computed properties:
N(E_F) (states/eV/f.u.): 3.13
Total magnetization (μB/cell): 0.00
ΔE_f (raw) (eV per atom): -0.50

No. 4
Material: RbCaSe2
Method: DFT, PBE
State: relaxed

```
data_RbCaSe2
_chemical_formula_sum 'Rb4 Ca4 Se8'
_symmetry_space_group_name_H-M 'I 41/a m d'
_symmetry_Int_Tables_number 141
_cell_length_a 6.3618
_cell_length_b 6.3618
_cell_length_c 17.8136
_cell_angle_alpha 90.00
_cell_angle_beta 90.00
_cell_angle_gamma 90.00
loop_
_symmetry_equiv_pos_as_xyz
'x,y,z'
'-x,-y,-z'
'-y+1/4,x+3/4,z+1/4'
'y+1/4,-x+3/4,-z+1/4'
'-x+1/2,-y,z+1/2'
'x+1/2,y,-z+1/2'
'y+1/4,-x+1/4,z+3/4'
'-y+1/4,x+1/4,-z+3/4'
'x,-y,-z'
'-x,y,z'
'-y+1/4,-x+1/4,-z+3/4'
'y+1/4,x+1/4,z+3/4'
'-x+1/2,y,-z+1/2'
'x+1/2,-y,z+1/2'
'y+1/4,x+3/4,-z+1/4'
'-y+1/4,-x+3/4,z+1/4'
'x+1/2,y+1/2,z+1/2'
'-x+1/2,-y+1/2,-z+1/2'
'-y+3/4,x+1/4,z+3/4'
'y+3/4,-x+1/4,-z+3/4'
'-x,-y+1/2,z'
'x,y+1/2,-z'
'y+3/4,-x+3/4,z+1/4'
'-y+3/4,x+3/4,-z+1/4'
'x+1/2,-y+1/2,-z+1/2'
'-x+1/2,y+1/2,z+1/2'
'-y+3/4,-x+3/4,-z+1/4'
'y+3/4,x+3/4,z+1/4'
'-x,y+1/2,-z'
'x,-y+1/2,z'
'y+3/4,x+1/4,-z+3/4'
'-y+3/4,-x+1/4,z+3/4'
loop_
_atom_site_label
_atom_site_type_symbol
_atom_site_fract_x
_atom_site_fract_y
_atom_site_fract_z
_atom_site_occupancy
Rb1 Rb 0.0000 0.2500 0.3750 1
Ca1 Ca 0.0000 0.2500 0.8750 1
Se1 Se 0.0000 0.0000 0.0000 1
```

Computed properties:
N(E_F) (states/eV/f.u.): 0.70
Total magnetization (μB/cell): 0.00
ΔE_f (raw) (eV per atom): -1.09

Number 1: volume 496.0 Å³/cell. Number 2: volume 283.2 Å³/cell. Number 3: volume 196.6 Å³/cell. Number 4: volume 721.0 Å³/cell.